# 1
{"formula": "BaSrMg2Sn2", "functional": "PBE-GGA", "state": "relaxed", "energy_ev_per_atom": -2.9965, "cell": [[5.069, 0.000, 0.000], [-2.535, 4.390, 0.000], [0.000, 0.000, 8.643]], "species": ["Mg", "Mg", "Sr", "Ba", "Sn", "Sn"], "frac_coords": [[0.333, 0.667, 0.706], [0.667, 0.333, 0.294], [0.000, 0.000, 0.500], [0.000, 0.000, 0.000], [0.667, 0.333, 0.729], [0.333, 0.667, 0.271]]}

# 2
{"formula": "VIn2Ga", "functional": "PBE-GGA", "state": "relaxed", "energy_ev_per_atom": -4.2914, "cell": [[-6.929, 5.224, -0.800], [-1.978, -3.405, -5.103], [-2.555, -4.453, 3.962]], "species": ["Ga", "Ga", "Ga", "Ga", "In", "In", "In", "In", "In", "In", "In", "In", "V", "V", "V", "V"], "frac_coords": [[0.500, 0.750, 0.250], [0.500, 0.250, 0.750], [0.500, 0.250, 0.250], [0.500, 0.750, 0.750], [0.842, 0.251, 0.826], [0.842, 0.751, 0.326], [0.158, 0.751, 0.674], [0.842, 0.249, 0.326], [0.158, 0.249, 0.674], [0.842, 0.749, 0.826], [0.158, 0.251, 0.174], [0.158, 0.749, 0.174], [0.633, 0.000, 0.029], [0.367, 0.000, 0.971], [0.367, 0.500, 0.471], [0.633, 0.500, 0.529]]}

# 3
{"formula": "DyPa2Co", "functional": "PBE-GGA", "state": "relaxed", "polymorph_energy_mev_per_atom": 14, "cell": [[3.505, 0.000, 0.000], [1.753, 3.035, 0.000], [1.753, 1.012, 9.010]], "species": ["Pa", "Pa", "Co", "Dy"], "frac_coords": [[0.063, 0.063, 0.812], [0.270, 0.270, 0.190], [0.670, 0.670, 0.990], [0.497, 0.497, 0.509]]}

# 4
{"formula": "Ag12S3Br5", "functional": "PBE-GGA", "state": "relaxed", "formation_energy_uncorrected_mev_per_atom": -71.9, "cell": [[13.729, 0.000, 0.000], [-4.576, 12.944, 0.000], [-4.576, -6.472, 11.210]], "species": ["Br", "Br", "Br", "Br", "Br", "Br", "Br", "Br", "Br", "Br", "Br", "Br", "Br", "Br", "Br", "Br", "Br", "Br", "Br", "Br", "Ag", "Ag", "Ag", "Ag", "Ag", "Ag", "Ag", "Ag", "Ag", "Ag", "Ag", "Ag", "Ag", "Ag", "Ag", "Ag", "Ag", "Ag", "Ag", "Ag", "Ag", "Ag", "Ag", "Ag", "Ag", "Ag", "Ag", "Ag", "Ag", "Ag", "Ag", "Ag", "Ag", "Ag", "Ag", "Ag", "Ag", "Ag", "Ag", "Ag", "Ag", "Ag", "Ag", "Ag", "Ag", "Ag", "Ag", "Ag", "S", "S", "S", "S", "S", "S", "S", "S", "S", "S", "S", "S"], "frac_coords": [[0.750, 0.625, 0.375], [0.875, 0.625, 0.750], [0.500, 0.500, 0.500], [0.750, 0.125, 0.875], [0.000, 0.000, 0.500], [0.000, 0.000, 0.000], [0.250, 0.875, 0.125], [0.375, 0.250, 0.125], [0.000, 0.500, 0.500], [0.625, 0.875, 0.250], [0.500, 0.000, 0.500], [0.625, 0.750, 0.875], [0.500, 0.000, 0.000], [0.875, 0.250, 0.625], [0.000, 0.500, 0.000], [0.375, 0.125, 0.750], [0.125, 0.750, 0.375], [0.125, 0.375, 0.250], [0.250, 0.375, 0.625], [0.500, 0.500, 0.000], [0.246, 0.670, 0.111], [0.559, 0.924, 0.670], [0.924, 0.559, 0.170], [0.746, 0.135, 0.076], [0.889, 0.830, 0.754], [0.941, 0.111, 0.865], [0.424, 0.754, 0.865], [0.111, 0.170, 0.246], [0.254, 0.389, 0.830], [0.246, 0.576, 0.635], [0.170, 0.111, 0.746], [0.865, 0.254, 0.424], [0.670, 0.424, 0.559], [0.170, 0.059, 0.924], [0.830, 0.889, 0.254], [0.441, 0.365, 0.611], [0.830, 0.941, 0.076], [0.611, 0.865, 0.441], [0.611, 0.746, 0.670], [0.635, 0.076, 0.246], [0.754, 0.330, 0.889], [0.076, 0.635, 0.746], [0.924, 0.365, 0.254], [0.365, 0.441, 0.111], [0.441, 0.076, 0.330], [0.865, 0.611, 0.941], [0.424, 0.670, 0.059], [0.111, 0.941, 0.365], [0.389, 0.135, 0.559], [0.254, 0.865, 0.924], [0.635, 0.559, 0.889], [0.576, 0.330, 0.941], [0.365, 0.924, 0.754], [0.330, 0.576, 0.441], [0.135, 0.746, 0.576], [0.330, 0.754, 0.389], [0.889, 0.059, 0.635], [0.389, 0.254, 0.330], [0.135, 0.389, 0.059], [0.670, 0.246, 0.611], [0.754, 0.424, 0.365], [0.746, 0.611, 0.170], [0.941, 0.830, 0.576], [0.059, 0.889, 0.135], [0.559, 0.635, 0.389], [0.059, 0.170, 0.424], [0.076, 0.441, 0.830], [0.576, 0.246, 0.135], [0.625, 0.250, 0.375], [0.250, 0.625, 0.875], [0.250, 0.125, 0.375], [0.125, 0.875, 0.750], [0.875, 0.750, 0.125], [0.750, 0.375, 0.125], [0.375, 0.625, 0.250], [0.375, 0.750, 0.625], [0.625, 0.375, 0.750], [0.125, 0.250, 0.875], [0.750, 0.875, 0.625], [0.875, 0.125, 0.250]]}